A plane-wave DFT calculation with PBE was carried out for a relaxed CaCd2AgBi crystal.

a b c (Å): 5.7030 5.7030 5.3523
angles (deg): 90.00 90.00 90.00
Closest atoms and distances in Å follow each position.
Space group P4/mmm (No. 123)
Inequivalent atoms, fractional coordinates:
Ca: 0.0000 0.0000 0.0000 [1 per cell]  2 Ag 2.68, 4 Cd 2.85
Cd: 0.0000 0.5000 0.0000 [2 per cell]  2 Ca 2.85
Ag: 0.0000 0.0000 0.5000 [1 per cell]  2 Ca 2.68
Bi: 0.5000 0.5000 0.5000 [1 per cell]  8 Cd 3.91, 4 Ag 4.03

Calculated values
Density of states at the Fermi level = 5.2 states/eV per cell
Total magnetic moment = 0.0 μB/f.u.
E_tot = -1.446 eV per atom